Entry from the Alexandria database: crystalline CrSnP2O8 at its relaxed geometry (PBE with a Hubbard U).

## Properties
The total energy is -7.02 eV per atom. The mass density is 4.105 g/cm³. The space-group type is R-3 (148).

a b c (Å): 4.7727 4.7727 7.8914
angles (deg): 72.40 72.40 60.00
Last column: nearest neighbours and their distance in Å.
Atoms (fractional coordinates):
O  0.3959  0.7470  0.8442  1 P 1.55
O  0.8099  0.8099  0.5702  1 P 1.54
O  0.6041  0.2530  0.1558  1 P 1.55
O  0.2530  0.9871  0.1558  1 P 1.55
O  0.1901  0.1901  0.4298  1 P 1.54
O  0.7470  0.0129  0.8442  1 P 1.55
O  0.9871  0.6041  0.1558  1 P 1.55
O  0.0129  0.3959  0.8442  1 P 1.55
P  0.2595  0.2595  0.2215  4 O 1.54-1.55
P  0.7405  0.7405  0.7785  4 O 1.54-1.55
Sn  0.5000  0.5000  0.5000  12 O 2.80-3.09
Cr  0.0000  0.0000  0.0000  6 O 1.94